! Pr3PuB2N6 (PBE-GGA, optimized geometry); values from VASP
! Uncorrected formation energy in meV/atom: -1027
! E_tot in eV per atom: -8.6919
&SYSTEM
  ibrav = 0, nat = 12, ntyp = 4
/
ATOMIC_SPECIES
Pr 140.91 Pr.upf
Pu 244.00 Pu.upf
B 10.81 B.upf
N 14.01 N.upf
CELL_PARAMETERS angstrom
5.6567 0.0000 0.0000
-2.8283 4.8988 0.0000
0.0000 0.0000 6.4718
ATOMIC_POSITIONS angstrom
Pr 0.0000 0.0000 0.0000
Pr 0.0000 3.2659 4.2841
Pr 2.8283 1.6329 2.1878
Pu 0.0000 0.0000 3.2359
B 0.0000 3.2659 1.6281
B 2.8283 1.6329 4.8437
N 0.0000 1.8137 1.8169
N -1.2576 3.9920 1.8169
N 1.5707 0.9069 4.6549
N 1.2576 3.9920 1.8169
N 4.0860 0.9069 4.6549
N 2.8283 3.0851 4.6549